First-principles (PBE) data for a relaxed structure of SrTaRh2, as listed in Alexandria via LeMat-Bulk.

The structure in CIF format:
```
data_SrTaRh2
_chemical_formula_sum 'Sr2 Ta2 Rh4'
_cell_length_a 3.076
_cell_length_b 4.754
_cell_length_c 10.771
_cell_angle_alpha 90.00
_cell_angle_beta 90.00
_cell_angle_gamma 90.00
_symmetry_space_group_name_H-M 'I m m 2'
_symmetry_Int_Tables_number 44
loop_
_symmetry_equiv_pos_as_xyz
'x,y,z'
'-x,-y,z'
'-x,y,z'
'x,-y,z'
'x+1/2,y+1/2,z+1/2'
'-x+1/2,-y+1/2,z+1/2'
'-x+1/2,y+1/2,z+1/2'
'x+1/2,-y+1/2,z+1/2'
loop_
_atom_site_label
_atom_site_type_symbol
_atom_site_fract_x
_atom_site_fract_y
_atom_site_fract_z
Sr1 Sr 0.000 0.000 0.000
Ta1 Ta 0.000 0.500 0.783
Rh1 Rh 0.000 0.000 0.476
Rh2 Rh 0.000 0.500 0.221
```

Summary:
energy above the lowest structure with this stoichiometry: 465 meV per atom
calculated volume: 157.49 Å³/cell

***

First-principles (PBE) data for a relaxed structure of SrTaRh, as listed in Alexandria via LeMat-Bulk.

The structure in CIF format:
```
data_SrTaRh
_chemical_formula_sum 'Sr2 Ta2 Rh2'
_cell_length_a 3.421
_cell_length_b 3.421
_cell_length_c 12.361
_cell_angle_alpha 90.00
_cell_angle_beta 90.00
_cell_angle_gamma 90.00
_symmetry_space_group_name_H-M 'I 4 m m'
_symmetry_Int_Tables_number 107
_symmetry_space_group_name_Hall 'I 4 -2'
loop_
_atom_site_label
_atom_site_type_symbol
_atom_site_fract_x
_atom_site_fract_y
_atom_site_fract_z
Sr1 Sr 0.000 0.000 0.000
Ta1 Ta 0.000 0.000 0.280
Rh1 Rh 0.000 0.000 0.705
```

Summary:
energy above the lowest structure with this stoichiometry: 0 meV per atom
calculated volume: 144.64 Å³/cell

***

First-principles (PBE) data for a relaxed structure of SrTaRh, as listed in Alexandria via LeMat-Bulk.

The structure in CIF format:
```
data_SrTaRh
_chemical_formula_sum 'Sr1 Ta1 Rh1'
_cell_length_a 4.2435
_cell_length_b 4.2435
_cell_length_c 5.1778
_cell_angle_alpha 90.00
_cell_angle_beta 90.00
_cell_angle_gamma 120.00
_symmetry_space_group_name_H-M 'P 3 m 1'
_symmetry_Int_Tables_number 156
loop_
_symmetry_equiv_pos_as_xyz
'x,y,z'
'-y,x-y,z'
'-x+y,-x,z'
'-y,-x,z'
'-x+y,y,z'
'x,x-y,z'
loop_
_atom_site_label
_atom_site_type_symbol
_atom_site_fract_x
_atom_site_fract_y
_atom_site_fract_z
Sr1 Sr 0.0000 0.0000 0.0000
Ta1 Ta 0.6667 0.3333 0.5102
Rh1 Rh 0.3333 0.6667 0.4565
```

Summary:
energy above the lowest structure with this stoichiometry: 137 meV per atom
calculated volume: 80.75 Å³/cell

***

First-principles (PBE) data for a relaxed structure of SrTa2Rh, as listed in Alexandria via LeMat-Bulk.

The structure in CIF format:
```
data_SrTa2Rh
_chemical_formula_sum 'Sr2 Ta4 Rh2'
_cell_length_a 5.518
_cell_length_b 10.399
_cell_length_c 2.938
_cell_angle_alpha 90.00
_cell_angle_beta 109.07
_cell_angle_gamma 90.00
_symmetry_space_group_name_H-M 'C 1 2/m 1'
_symmetry_Int_Tables_number 12
loop_
_symmetry_equiv_pos_as_xyz
'x,y,z'
'-x,-y,-z'
'-x,y,-z'
'x,-y,z'
'x+1/2,y+1/2,z'
'-x+1/2,-y+1/2,-z'
'-x+1/2,y+1/2,-z'
'x+1/2,-y+1/2,z'
loop_
_atom_site_label
_atom_site_type_symbol
_atom_site_fract_x
_atom_site_fract_y
_atom_site_fract_z
Sr1 Sr 0.000 0.000 0.000
Ta1 Ta 0.250 0.250 0.500
Rh1 Rh 0.000 0.500 0.000
```

Summary:
energy above the lowest structure with this stoichiometry: 478 meV per atom
calculated volume: 159.35 Å³/cell

***

First-principles (PBE) data for a relaxed structure of SrTa2Rh2, as listed in Alexandria via LeMat-Bulk.

The structure in CIF format:
```
data_SrTa2Rh2
_chemical_formula_sum 'Sr2 Ta4 Rh4'
_cell_length_a 4.471
_cell_length_b 4.471
_cell_length_c 10.850
_cell_angle_alpha 90.00
_cell_angle_beta 90.00
_cell_angle_gamma 90.00
_symmetry_space_group_name_H-M 'I 4/m m m'
_symmetry_Int_Tables_number 139
_symmetry_space_group_name_Hall '-I 4 2'
loop_
_atom_site_label
_atom_site_type_symbol
_atom_site_fract_x
_atom_site_fract_y
_atom_site_fract_z
Sr1 Sr 0.000 0.000 0.000
Ta1 Ta 0.000 0.500 0.250
Rh1 Rh 0.000 0.000 0.369
```

Summary:
energy above the lowest structure with this stoichiometry: 0 meV per atom
calculated volume: 216.91 Å³/cell

***

First-principles (PBE) data for a relaxed structure of SrTaRh2, as listed in Alexandria via LeMat-Bulk.

The structure in CIF format:
```
data_SrTaRh2
_chemical_formula_sum 'Sr1 Ta1 Rh2'
_cell_length_a 3.226
_cell_length_b 3.222
_cell_length_c 7.651
_cell_angle_alpha 90.00
_cell_angle_beta 90.11
_cell_angle_gamma 90.00
_symmetry_space_group_name_H-M 'P 1 2/m 1'
_symmetry_Int_Tables_number 10
loop_
_symmetry_equiv_pos_as_xyz
'x,y,z'
'-x,-y,-z'
'-x,y,-z'
'x,-y,z'
loop_
_atom_site_label
_atom_site_type_symbol
_atom_site_fract_x
_atom_site_fract_y
_atom_site_fract_z
Sr1 Sr 0.000 0.000 0.000
Ta1 Ta 0.000 0.000 0.500
Rh1 Rh 0.499 0.500 0.310
```

Summary:
energy above the lowest structure with this stoichiometry: 0 meV per atom
calculated volume: 79.52 Å³/cell

***

First-principles (PBE) data for a relaxed structure of SrTaRh3, as listed in Alexandria via LeMat-Bulk.

The structure in CIF format:
```
data_SrTaRh3
_chemical_formula_sum 'Sr1 Ta1 Rh3'
_cell_length_a 4.824
_cell_length_b 4.824
_cell_length_c 4.824
_cell_angle_alpha 90.00
_cell_angle_beta 90.00
_cell_angle_gamma 90.00
_symmetry_space_group_name_H-M 'P m -3 m'
_symmetry_Int_Tables_number 221
_symmetry_space_group_name_Hall '-P 4 2 3'
loop_
_atom_site_label
_atom_site_type_symbol
_atom_site_fract_x
_atom_site_fract_y
_atom_site_fract_z
Sr1 Sr 0.000 0.000 0.000
Ta1 Ta 0.500 0.500 0.500
Rh1 Rh 0.000 0.500 0.500
```

Summary:
energy above the lowest structure with this stoichiometry: 0 meV per atom
calculated volume: 112.29 Å³/cell

***

First-principles (PBE) data for a relaxed structure of SrTaRh2, as listed in Alexandria via LeMat-Bulk.

The structure in CIF format:
```
data_SrTaRh2
_chemical_formula_sum 'Sr2 Ta2 Rh4'
_cell_length_a 3.950
_cell_length_b 3.950
_cell_length_c 9.775
_cell_angle_alpha 90.00
_cell_angle_beta 90.00
_cell_angle_gamma 90.00
_symmetry_space_group_name_H-M 'I -4 m 2'
_symmetry_Int_Tables_number 119
_symmetry_space_group_name_Hall 'I -4 -2'
loop_
_atom_site_label
_atom_site_type_symbol
_atom_site_fract_x
_atom_site_fract_y
_atom_site_fract_z
Sr1 Sr 0.000 0.000 0.000
Ta1 Ta 0.000 0.500 0.750
Rh1 Rh 0.000 0.000 0.500
Rh2 Rh 0.000 0.500 0.250
```

Summary:
energy above the lowest structure with this stoichiometry: 665 meV per atom
calculated volume: 152.52 Å³/cell

***

First-principles (PBE) data for a relaxed structure of SrTa2Rh, as listed in Alexandria via LeMat-Bulk.

The structure in CIF format:
```
data_SrTa2Rh
_chemical_formula_sum 'Sr4 Ta8 Rh4'
_cell_length_a 6.714
_cell_length_b 6.714
_cell_length_c 6.714
_cell_angle_alpha 90.00
_cell_angle_beta 90.00
_cell_angle_gamma 90.00
_symmetry_space_group_name_H-M 'F m -3 m'
_symmetry_Int_Tables_number 225
_symmetry_space_group_name_Hall '-F 4 2 3'
loop_
_atom_site_label
_atom_site_type_symbol
_atom_site_fract_x
_atom_site_fract_y
_atom_site_fract_z
Sr1 Sr 0.000 0.000 0.000
Ta1 Ta 0.250 0.250 0.250
Rh1 Rh 0.000 0.000 0.500
```

Summary:
energy above the lowest structure with this stoichiometry: 654 meV per atom
calculated volume: 302.59 Å³/cell

***

First-principles (PBE) data for a relaxed structure of SrTa2Rh, as listed in Alexandria via LeMat-Bulk.

The structure in CIF format:
```
data_SrTa2Rh
_chemical_formula_sum 'Sr2 Ta4 Rh2'
_cell_length_a 11.777
_cell_length_b 3.003
_cell_length_c 5.142
_cell_angle_alpha 90.00
_cell_angle_beta 109.48
_cell_angle_gamma 90.00
_symmetry_space_group_name_H-M 'C 1 2/m 1'
_symmetry_Int_Tables_number 12
loop_
_symmetry_equiv_pos_as_xyz
'x,y,z'
'-x,-y,-z'
'-x,y,-z'
'x,-y,z'
'x+1/2,y+1/2,z'
'-x+1/2,-y+1/2,-z'
'-x+1/2,y+1/2,-z'
'x+1/2,-y+1/2,z'
loop_
_atom_site_label
_atom_site_type_symbol
_atom_site_fract_x
_atom_site_fract_y
_atom_site_fract_z
Sr1 Sr 0.000 0.000 0.000
Ta1 Ta 0.206 0.000 0.680
Rh1 Rh 0.000 0.500 0.500
```

Summary:
energy above the lowest structure with this stoichiometry: 152 meV per atom
calculated volume: 171.46 Å³/cell

***

- What is the energy above the lowest structure with this stoichiometry in the sixth record?
  0 meV per atom

***

- The highest energy above the lowest structure with this stoichiometry belongs to which entry?
  number 8